The following is a DFT calculation (PBE) of a relaxed ZnSiCl2 crystal.

Values from the calculation:
Symmetry: C2/m, No. 12
Total moment: 0.00 μB per formula unit
DOS at the Fermi energy: 1.86 states/eV/f.u.
Uncorrected formation energy: 0.053 eV/atom

abc: 5.3452 5.3452 3.3605
angles: 107.58 107.58 104.05
Positions (direct):
Zn  0.0000  0.0000  0.0000
Si  0.5000  0.5000  0.0000
Cl  0.0000  0.5000  0.0000
Cl  0.5000  0.0000  0.0000